(1)
CeNbAlO6: relaxed, GGA-PBE.

Summary:
- crystal system = trigonal
- formation energy from raw total energies (eV per atom) = -2.9139
- space-group type = P312, No. 149

Cell: 4.908 5.134 5.134 Å, 120.00 90.00 90.00°
Element x y z (fractional)
Ce: 0.000 0.333 0.667
Nb: 0.500 0.667 0.333
Al: 0.500 0.000 0.000
O: 0.720 0.698 0.679
O: 0.720 0.321 0.019
O: 0.720 0.981 0.302
O: 0.280 0.321 0.302
O: 0.280 0.698 0.019
O: 0.280 0.981 0.679

(2)
Ce2NbAl2Ru5: relaxed, GGA-PBE.

Summary:
- formation enthalpy at 0 K (meV/atom) = -418
- crystal system = tetragonal
- space-group type = P4/mbm, No. 127

Cell: 3.286 10.250 10.250 Å, 90.00 90.00 90.00°
Element x y z (fractional)
Ce: 0.000 0.673 0.173
Ce: 0.000 0.327 0.827
Ce: 0.000 0.173 0.327
Ce: 0.000 0.827 0.673
Nb: 0.000 0.000 0.000
Nb: 0.000 0.500 0.500
Al: 0.000 0.126 0.626
Al: 0.000 0.874 0.374
Al: 0.000 0.626 0.874
Al: 0.000 0.374 0.126
Ru: 0.500 0.202 0.067
Ru: 0.500 0.798 0.933
Ru: 0.500 0.067 0.798
Ru: 0.500 0.702 0.433
Ru: 0.500 0.933 0.202
Ru: 0.500 0.298 0.567
Ru: 0.500 0.567 0.702
Ru: 0.500 0.433 0.298
Ru: 0.500 0.500 0.000
Ru: 0.500 0.000 0.500

(3)
CeNdAl2: relaxed, GGA-PBE.

Summary:
- formation enthalpy at 0 K (meV/atom) = -307
- crystal system = tetragonal
- space-group type = P4/mmm, No. 123

Cell: 3.399 3.399 8.550 Å, 90.00 90.00 90.00°
Element x y z (fractional)
Nd: 0.500 0.500 0.500
Al: 0.000 0.000 0.753
Al: 0.000 0.000 0.247
Ce: 0.500 0.500 0.000

(4)
CeNdAl: relaxed, GGA-PBE.

Summary:
- formation enthalpy at 0 K (meV/atom) = -117
- crystal system = tetragonal
- space-group type = I4mm, No. 107

Cell: 4.013 4.013 5.744 Å, 110.44 110.44 90.00°
Element x y z (fractional)
Nd: 0.296 0.296 0.591
Al: 0.951 0.951 0.902
Ce: 0.603 0.603 0.206

(5)
Ce3NdAl8: relaxed, GGA-PBE.

Summary:
- formation enthalpy at 0 K (meV/atom) = -464
- crystal system = trigonal
- space-group type = R3m, No. 160

Cell: 5.643 5.643 9.750 Å, 73.18 73.18 60.00°
Element x y z (fractional)
Ce: 0.375 0.375 0.874
Ce: 0.002 0.002 0.995
Ce: 0.498 0.498 0.506
Nd: 0.875 0.875 0.375
Al: 0.937 0.438 0.187
Al: 0.437 0.938 0.688
Al: 0.438 0.438 0.187
Al: 0.938 0.938 0.688
Al: 0.187 0.187 0.438
Al: 0.687 0.687 0.938
Al: 0.438 0.937 0.187
Al: 0.938 0.437 0.688

(6)
CeNdAl: relaxed, GGA-PBE.

Summary:
- formation enthalpy at 0 K (meV/atom) = -48
- crystal system = trigonal
- space-group type = P3m1, No. 156

Cell: 3.133 5.248 5.248 Å, 120.00 90.00 90.00°
Element x y z (fractional)
Nd: 0.168 0.333 0.667
Al: 0.666 0.667 0.333
Ce: 0.166 0.000 0.000

(7)
CeNdAl: relaxed, GGA-PBE.

Summary:
- formation enthalpy at 0 K (meV/atom) = -165
- crystal system = monoclinic
- space-group type = P2_1/m, No. 11

Cell: 3.348 4.459 10.703 Å, 90.00 99.02 90.00°
Element x y z (fractional)
Ce: 0.040 0.250 0.581
Ce: 0.960 0.750 0.419
Nd: 0.192 0.250 0.884
Nd: 0.808 0.750 0.116
Al: 0.388 0.250 0.276
Al: 0.612 0.750 0.724

(8)
Ce3NdAl8: relaxed, GGA-PBE.

Summary:
- formation enthalpy at 0 K (meV/atom) = -459
- crystal system = trigonal
- space-group type = P3m1, No. 156

Cell: 5.657 5.657 9.086 Å, 90.00 90.00 120.00°
Element x y z (fractional)
Ce: 0.667 0.333 0.410
Ce: 0.667 0.333 0.087
Ce: 0.000 0.000 0.933
Nd: 0.000 0.000 0.572
Al: 0.333 0.667 0.497
Al: 0.333 0.667 0.000
Al: 0.505 0.010 0.751
Al: 0.505 0.495 0.751
Al: 0.990 0.495 0.751
Al: 0.162 0.323 0.249
Al: 0.162 0.838 0.249
Al: 0.677 0.838 0.249